# 1
First-principles (GGA-PBE) data for Ba2CrCoP after structural relaxation, as listed in the Alexandria database.

Properties
Symmetry: No. 123
DOS(E_F): 4.881 states/eV per cell
Crystal system: tetragonal
E_form: 58.9 kJ per mole of atoms

Cell lengths 6.0824, 4.1577, 6.0824 Å; angles 90.00, 90.00, 90.00 degrees
Closest atoms and distances in Å follow each position.
Positions (direct):
1 Cr 0.0000 0.0000 0.0000  2 Co 2.08
2 Ba 0.5000 0.0000 0.0000  2 Cr 3.04
3 Ba 0.0000 0.0000 0.5000  2 Cr 3.04
4 Co 0.0000 0.5000 0.0000  2 Cr 2.08
5 P 0.5000 0.5000 0.5000  8 Ba 3.68

---

# 2
First-principles (GGA-PBE) data for BaCr2CoPd after structural relaxation, as listed in the Alexandria database.

Properties
Symmetry: No. 123
DOS(E_F): 3.635 states/eV per cell
Crystal system: tetragonal
E_form: 55.1 kJ per mole of atoms

Cell lengths 4.5171, 5.1937, 4.5171 Å; angles 90.00, 90.00, 90.00 degrees
Closest atoms and distances in Å follow each position.
Positions (direct):
1 Pd 0.0000 0.5000 0.0000  2 Co 2.60
2 Ba 0.5000 0.5000 0.5000  4 Pd 3.19, 8 Cr 3.44
3 Cr 0.0000 0.0000 0.5000  2 Co 2.26
4 Cr 0.5000 0.0000 0.0000  2 Co 2.26
5 Co 0.0000 0.0000 0.0000  4 Cr 2.26

---

# 3
First-principles (GGA-PBE) data for BaCrCo2Se after structural relaxation, as listed in the Alexandria database.

Properties
Symmetry: No. 123
DOS(E_F): 4.675 states/eV per cell
Uncorrected energy: -5.51 eV per atom
Crystal system: tetragonal

Cell lengths 4.6042, 4.8349, 4.6042 Å; angles 90.00, 90.00, 90.00 degrees
Closest atoms and distances in Å follow each position.
Positions (direct):
1 Co 0.5000 0.0000 0.0000  2 Cr 2.30
2 Co 0.0000 0.0000 0.5000  2 Cr 2.30
3 Se 0.0000 0.5000 0.0000  2 Cr 2.42
4 Cr 0.0000 0.0000 0.0000  4 Co 2.30, 2 Se 2.42
5 Ba 0.5000 0.5000 0.5000  4 Se 3.26, 8 Co 3.34

---

# 4
First-principles (GGA-PBE) data for Ba2CrCoTe after structural relaxation, as listed in the Alexandria database.

Properties
Symmetry: No. 123
DOS(E_F): 4.235 states/eV per cell
Uncorrected energy: -4.41 eV per atom
Crystal system: tetragonal

Cell lengths 6.6313, 4.6772, 6.6313 Å; angles 90.00, 90.00, 90.00 degrees
Closest atoms and distances in Å follow each position.
Positions (direct):
1 Co 0.0000 0.5000 0.0000  2 Te 2.34
2 Te 0.0000 0.0000 0.0000  2 Co 2.34
3 Ba 0.0000 0.0000 0.5000  2 Te 3.32
4 Ba 0.5000 0.0000 0.0000  2 Te 3.32
5 Cr 0.5000 0.5000 0.5000  8 Ba 4.06

---

# 5
First-principles (GGA-PBE) data for BaCrCoTe2 after structural relaxation, as listed in the Alexandria database.

Properties
Symmetry: No. 123
DOS(E_F): 6.914 states/eV per cell
Uncorrected energy: -4.23 eV per atom
Crystal system: tetragonal

Cell lengths 5.1352, 5.1037, 5.1352 Å; angles 90.00, 90.00, 90.00 degrees
Closest atoms and distances in Å follow each position.
Positions (direct):
1 Ba 0.0000 0.5000 0.0000  2 Co 2.55
2 Te 0.5000 0.0000 0.0000  2 Co 2.57
3 Te 0.0000 0.0000 0.5000  2 Co 2.57
4 Co 0.0000 0.0000 0.0000  2 Ba 2.55, 4 Te 2.57
5 Cr 0.5000 0.5000 0.5000  8 Te 3.62, 4 Ba 3.63

---

# 6
First-principles (GGA-PBE) data for Ba2CrCoTe after structural relaxation, as listed in the Alexandria database.

Properties
Symmetry: No. 123
DOS(E_F): 2.738 states/eV per cell
Uncorrected energy: -4.83 eV per atom
Crystal system: tetragonal

Cell lengths 5.9890, 4.5529, 5.9890 Å; angles 90.00, 90.00, 90.00 degrees
Closest atoms and distances in Å follow each position.
Positions (direct):
1 Cr 0.0000 0.5000 0.0000  2 Co 2.28
2 Co 0.0000 0.0000 0.0000  2 Cr 2.28
3 Te 0.5000 0.5000 0.5000  8 Ba 3.76
4 Ba 0.5000 0.0000 0.0000  2 Co 2.99
5 Ba 0.0000 0.0000 0.5000  2 Co 2.99

---

# 7
First-principles (GGA-PBE) data for CsBa3Co after structural relaxation, as listed in the Alexandria database.

Properties
Symmetry: No. 221
DOS(E_F): 14.016 states/eV per cell
Crystal system: cubic
E_form: 31.2 kJ per mole of atoms

Cell lengths 6.3668, 6.3668, 6.3668 Å; angles 90.00, 90.00, 90.00 degrees
Closest atoms and distances in Å follow each position.
Positions (direct):
1 Ba 0.0000 0.0000 0.5000  2 Co 3.18
2 Ba 0.0000 0.5000 0.0000  2 Co 3.18
3 Ba 0.5000 0.0000 0.0000  2 Co 3.18
4 Co 0.0000 0.0000 0.0000  6 Ba 3.18
5 Cs 0.5000 0.5000 0.5000  12 Ba 4.50

---

# 8
First-principles (GGA-PBE) data for CsBaCo2 after structural relaxation, as listed in the Alexandria database.

Properties
Symmetry: No. 122
DOS(E_F): 11.223 states/eV per cell
Crystal system: tetragonal
E_form: 127.5 kJ per mole of atoms

Cell lengths 8.8182, 8.8182, 7.0733 Å; angles 51.44, 51.44, 90.00 degrees
Closest atoms and distances in Å follow each position.
Positions (direct):
1 Co 0.1172 0.6250 0.2500  2 Ba 3.18, 2 Cs 3.27, 2 Co 3.34
2 Co 0.6328 0.1250 0.2500  2 Ba 3.18, 2 Cs 3.27, 2 Co 3.34
3 Co 0.8750 0.8828 0.7500  2 Ba 3.18, 2 Cs 3.27, 2 Co 3.34
4 Co 0.3750 0.3672 0.7500  2 Ba 3.18, 2 Cs 3.27, 2 Co 3.34
5 Cs 0.5000 0.5000 0.0000  4 Co 3.27, 2 Ba 3.34
6 Cs 0.2500 0.7500 0.5000  4 Co 3.27, 2 Ba 3.34
7 Ba 0.7500 0.2500 0.5000  4 Co 3.18, 2 Cs 3.34
8 Ba 0.0000 0.0000 0.0000  4 Co 3.18, 2 Cs 3.34